A plane-wave DFT calculation with PBE was carried out for a relaxed structure of TaIn2Re.

Unit cell a=3.3328 b=4.7231 c=4.7506 alpha=90.00 beta=90.00 gamma=90.00
Positions (direct):
Ta (0.0000, 0.0000, 0.0000)
In (0.0000, 0.5000, 0.5000)
In (0.5000, 0.5000, 0.0000)
Re (0.5000, 0.0000, 0.5000)

## Properties
As for the crystal system: orthorhombic. The value obtained for the calculated formation energy is 0.436 eV per atom. For the offset from the most stable computed form, the calculation gives 232 meV per atom.

A plane-wave DFT calculation with PBE was carried out for a relaxed structure of TaInRe.

Unit cell a=6.3268 b=6.3268 c=6.3268 alpha=90.00 beta=90.00 gamma=90.00
Positions (direct):
Ta (0.0000, 0.0000, 0.0000)
Ta (0.0000, 0.5000, 0.5000)
Ta (0.5000, 0.0000, 0.5000)
Ta (0.5000, 0.5000, 0.0000)
In (0.0000, 0.0000, 0.5000)
In (0.0000, 0.5000, 0.0000)
In (0.5000, 0.0000, 0.0000)
In (0.5000, 0.5000, 0.5000)
Re (0.2500, 0.2500, 0.7500)
Re (0.2500, 0.7500, 0.2500)
Re (0.7500, 0.2500, 0.2500)
Re (0.7500, 0.7500, 0.7500)

## Properties
As for the crystal system: cubic. The value obtained for the calculated formation energy is 0.602 eV per atom. For the offset from the most stable computed form, the calculation gives 438 meV per atom.

A plane-wave DFT calculation with PBE was carried out for a relaxed structure of TaIn2Re.

Unit cell a=4.3258 b=4.3258 c=7.9368 alpha=90.00 beta=90.00 gamma=90.00
Positions (direct):
Ta (0.0000, 0.0000, 0.0000)
Ta (0.5000, 0.5000, 0.5000)
In (0.0000, 0.0000, 0.5000)
In (0.0000, 0.5000, 0.7500)
In (0.5000, 0.0000, 0.2500)
In (0.5000, 0.5000, 0.0000)
Re (0.0000, 0.5000, 0.2500)
Re (0.5000, 0.0000, 0.7500)

## Properties
As for the crystal system: tetragonal. The value obtained for the calculated formation energy is 0.415 eV per atom. For the offset from the most stable computed form, the calculation gives 211 meV per atom.